# K3PaPd2Se6

K3PaPd2Se6 after structural relaxation (GGA-PBE, Alexandria).

The structure in POSCAR format:
```
K3PaPd2Se6
1.0
3.4254 -5.9234 0.0000
3.4254 5.9234 0.0000
-2.2964 0.0000 7.7945
K Pa Pd Se
3 1 2 6
direct
0.0000 0.0000 0.0000
0.3351 0.6649 0.0000
0.6649 0.3351 0.0000
0.5000 0.5000 0.5000
0.1669 0.8331 0.5000
0.8331 0.1669 0.5000
0.0904 0.4360 0.3062
0.2186 0.2186 0.6924
0.4360 0.0904 0.3062
0.5640 0.9096 0.6938
0.7814 0.7814 0.3076
0.9096 0.5640 0.6938
```

The raw formation energy comes out at -898 meV/atom.


# MgTi4O9

MgTi4O9 after structural relaxation (GGA-PBE, Alexandria).

The structure in POSCAR format:
```
MgTi4O9
1.0
8.4420 0.0000 0.0000
0.0000 8.4420 0.0000
0.0000 0.0000 4.8985
Mg Ti O
2 8 18
direct
0.2500 0.2500 0.1187
0.7500 0.7500 0.8813
0.0319 0.8399 0.3669
0.1601 0.5319 0.6331
0.3399 0.9681 0.6331
0.4681 0.6601 0.3669
0.5319 0.3399 0.6331
0.6601 0.0319 0.3669
0.8399 0.4681 0.3669
0.9681 0.1601 0.6331
0.0206 0.1849 0.9635
0.0443 0.3558 0.4690
0.1442 0.0443 0.4690
0.1849 0.4794 0.9635
0.2500 0.7500 0.5000
0.3151 0.0206 0.9635
0.3558 0.4557 0.4690
0.4557 0.1442 0.4690
0.4794 0.3151 0.9635
0.5206 0.6849 0.0365
0.5443 0.8558 0.5310
0.6442 0.5443 0.5310
0.6849 0.9794 0.0365
0.7500 0.2500 0.5000
0.8151 0.5206 0.0365
0.8558 0.9557 0.5310
0.9557 0.6442 0.5310
0.9794 0.8151 0.0365
```

The raw formation energy comes out at -2850 meV/atom.


# ErGa3Rh

ErGa3Rh after structural relaxation (GGA-PBE, Alexandria).

The structure in POSCAR format:
```
ErGa3Rh
1.0
6.4054 0.0000 0.0000
0.0000 6.4054 0.0000
0.0000 0.0000 6.4054
Er Ga Rh
3 9 3
direct
0.0000 0.0000 0.5000
0.0000 0.5000 0.0000
0.5000 0.0000 0.0000
0.0000 0.0000 0.0000
0.2876 0.2876 0.2876
0.2876 0.2876 0.7124
0.2876 0.7124 0.2876
0.2876 0.7124 0.7124
0.7124 0.2876 0.2876
0.7124 0.2876 0.7124
0.7124 0.7124 0.2876
0.7124 0.7124 0.7124
0.0000 0.5000 0.5000
0.5000 0.0000 0.5000
0.5000 0.5000 0.0000
```

Its polymorph energy (0 for the lowest one) is 0 meV/atom. The calculated formation energy is -0.71 eV per atom.


# MoPbCl2

MoPbCl2 after structural relaxation (GGA-PBE, Alexandria).

The structure in POSCAR format:
```
MoPbCl2
1.0
3.3023 -4.6948 0.0000
3.3023 4.6948 0.0000
-1.9004 0.0000 3.0011
Mo Pb Cl
1 1 2
direct
0.0000 0.0000 0.0000
0.5000 0.5000 0.0000
0.0000 0.5000 0.0000
0.5000 0.0000 0.0000
```

The raw formation energy comes out at 244 meV/atom. Its polymorph energy (0 for the lowest one) is 459 meV/atom.


Number 1: DOS at the Fermi energy 7.05 states/eV per cell, spin magnetization 0.0 μB per cell. Number 2: DOS at the Fermi energy 0.00 states/eV per cell, spin magnetization 0.0 μB per cell. Number 3: DOS at the Fermi energy 7.26 states/eV per cell, spin magnetization 0.0 μB per cell. Number 4: DOS at the Fermi energy 1.56 states/eV per cell, spin magnetization 3.4 μB per cell.